## PuMnGa2O8 (PBE+U)

Data for an optimized crystal structure of PuMnGa2O8.

a b c (Å): 4.7190 6.1222 4.7238
angles (deg): 90.00 91.92 90.00
Space group P2/m (No. 10)
Asymmetric unit:
Pu: 0.0000 0.0000 0.0000 (multiplicity 1)
Mn: 0.0000 0.5000 0.0000 (multiplicity 1)
Ga: 0.5000 0.2646 0.5000 (multiplicity 2)
O: 0.1910 0.2590 0.8105 (multiplicity 4)
O: 0.3013 0.5000 0.3027 (multiplicity 2)
O: 0.3144 0.0000 0.3160 (multiplicity 2)

- total energy (eV per atom) = -7.49